Material: AcDy2Ho
Method: DFT, PBE
State: relaxed

The total energy comes out at -0.31517 Ry per atom. The excess energy over the best structure of this formula in the dataset is 125 meV per atom. Its total moment is 0.0 μB/cell. The value obtained for the energy relative to the elements is 71 kJ/mol of formula units.

The space group is R-3m (No. 166, hexagonal axes) and the conventional cell measures 3.5696, 3.5696 and 37.9430 Å, with angles of 90.00, 90.00 and 120.00 degrees. Symmetry generates all atoms from Ac at (0.0000, 0.0000, 0.0000), Dy at (0.0000, 0.0000, 0.0929) and Ho at (0.0000, 0.0000, 0.5000).